Tb8Al2Tl | PBE | optimized geometry

Cell lengths 5.0205, 8.4242, 14.7315 Å; angles 90.00, 90.00, 90.00 degrees
Space group Immm (No. 71)
One atom of each set of equivalent atoms:
Tb 0.0000 0.0000 0.1448 x4
Tb 0.0000 0.2155 0.3386 x8
Tb 0.0000 0.3123 0.0000 x4
Al 0.0000 0.5000 0.1934 x4
Tl 0.0000 0.5000 0.5000 x2

Output
E above lowest polymorph   48.7 meV per atom
Energy of formation from the pure elements   -1.668 eV per formula unit

=====

Li2CuNi | PBE | optimized geometry

Cell lengths 3.5728, 3.5728, 7.6018 Å; angles 90.00, 90.00, 90.00 degrees
Space group I4/mmm (No. 139)
One atom of each set of equivalent atoms:
Li 0.0000 0.5000 0.2500 x4
Cu 0.0000 0.0000 0.0000 x2
Ni 0.0000 0.0000 0.5000 x2

Output
E above lowest polymorph   30.2 meV per atom
Energy of formation from the pure elements   0.070 eV per formula unit

=====

Zr3N | PBE | optimized geometry

Cell lengths 6.3123, 6.3123, 7.7137 Å; angles 90.00, 90.00, 120.00 degrees
Space group R-3m (No. 166, hexagonal axes)
One atom of each set of equivalent atoms:
Zr 0.0000 0.5000 0.0000 x9
N 0.0000 0.0000 0.5000 x3

Output
E above lowest polymorph   668.3 meV per atom
Formation energy (no corrections)   -0.196 eV/atom

=====

GaHgMo2 | PBE | optimized geometry

Cell lengths 6.4359, 6.4359, 6.4359 Å; angles 90.00, 90.00, 90.00 degrees
Space group Fm-3m (No. 225)
One atom of each set of equivalent atoms:
Ga 0.0000 0.0000 0.0000 x4
Hg 0.0000 0.0000 0.5000 x4
Mo 0.2500 0.2500 0.2500 x8

Output
E above lowest polymorph   0.0 meV per atom
Energy of formation from the pure elements   2.161 eV per formula unit

=====

KTi2H2F11 | PBE | optimized geometry

Cell lengths 10.4452, 10.5286, 10.8682 Å; angles 78.78, 65.38, 60.76 degrees
Space group P-1 (No. 2)
One atom of each set of equivalent atoms:
K 0.1793 0.0794 0.4535 x2
K 0.2643 0.1609 0.7880 x2
Ti 0.1950 0.5923 0.8934 x2
Ti 0.2036 0.8462 0.1173 x2
Ti 0.3517 0.2499 0.1156 x2
Ti 0.3665 0.4978 0.3365 x2
H 0.1207 0.8141 0.6504 x2
H 0.1518 0.3851 0.5460 x2
H 0.4240 0.8476 0.6065 x2
H 0.4378 0.7338 0.3823 x2
F 0.0011 0.8851 0.2202 x2
F 0.0103 0.3426 0.0009 x2
F 0.0934 0.8629 0.5729 x2
F 0.1532 0.2943 0.5855 x2
F 0.1586 0.2841 0.2397 x2
F 0.1682 0.7430 0.7723 x2
F 0.1694 0.9845 0.9929 x2
F 0.1741 0.5197 0.4653 x2
F 0.2129 0.7075 0.0085 x2
F 0.2168 0.4663 0.7878 x2
F 0.2226 0.9431 0.2237 x2
F 0.2571 0.4344 0.0200 x2
F 0.2677 0.6676 0.2397 x2
F 0.3547 0.3903 0.2178 x2
F 0.3586 0.9519 0.6126 x2
F 0.3601 0.1487 0.9953 x2
F 0.3922 0.6082 0.4275 x2
F 0.4308 0.5279 0.8071 x2
F 0.4376 0.7580 0.0134 x2
F 0.4540 0.1022 0.2092 x2
F 0.4589 0.8172 0.3532 x2
F 0.4737 0.3218 0.4061 x2

=====

Pa2PN | PBE | optimized geometry

Cell lengths 3.6817, 3.6817, 18.8546 Å; angles 90.00, 90.00, 120.00 degrees
Space group R-3m (No. 166, hexagonal axes)
One atom of each set of equivalent atoms:
Pa 0.0000 0.0000 0.2395 x6
P 0.0000 0.0000 0.0000 x3
N 0.0000 0.0000 0.5000 x3

Output
E above lowest polymorph   0.0 meV per atom
Formation energy (no corrections)   -1.378 eV/atom

=====

ErMg2Au2 | PBE | optimized geometry

Cell lengths 4.7646, 4.7473, 10.0604 Å; angles 90.00, 93.49, 90.00 degrees
Space group P2_1/m (No. 11)
One atom of each set of equivalent atoms:
Er 0.2310 0.2500 0.3200 x2
Mg 0.2613 0.2500 0.6698 x2
Mg 0.2641 0.2500 0.9847 x2
Au 0.2475 0.7500 0.1531 x2
Au 0.2490 0.7500 0.5118 x2

Output
Energy of formation from the pure elements   -2.946 eV per formula unit

=====

BaIn2Se | PBE | optimized geometry

Cell lengths 5.8186, 5.8342, 7.3706 Å; angles 90.00, 90.00, 90.00 degrees
Space group Cmmm (No. 65)
One atom of each set of equivalent atoms:
Ba 0.0000 0.0000 0.0000 x2
In 0.0000 0.5000 0.3051 x4
Se 0.0000 0.0000 0.5000 x2

Output
Formation energy (no corrections)   -0.408 eV/atom

=====

no.,raw total energy (eV per formula unit)
1,-48.56
2,-13.63
3,-34.75
4,-22.83
5,-90.92
6,-38.24
7,-17.25
8,-12.51